Computed, not measured: a geometry-optimized CrSbIO2 structure at the PBE+U level of DFT.

Geometry as CIF:
```
data_CrSbIO2
_chemical_formula_sum 'Cr1 Sb1 I1 O2'
_cell_length_a 4.091
_cell_length_b 4.091
_cell_length_c 6.701
_cell_angle_alpha 90.00
_cell_angle_beta 90.00
_cell_angle_gamma 90.00
_symmetry_space_group_name_H-M 'P 4/m m m'
_symmetry_Int_Tables_number 123
_symmetry_space_group_name_Hall '-P 4 2'
loop_
_atom_site_label
_atom_site_fract_x
_atom_site_fract_y
_atom_site_fract_z
Cr1 0.000 0.000 0.000
Sb1 0.500 0.500 0.500
I1 0.500 0.500 0.000
O1 0.000 0.500 0.500
```

Properties
Excess energy over the best structure of this formula in the dataset   0.000 eV per atom
Final energy   -5.061 eV/atom